No. 1
First-principles (PBE-GGA) data for a relaxed structure of Rb3RuI6, as listed in Alexandria via LeMat-Bulk.

Lattice parameters (Å, degrees): 8.707 8.707 8.707 60.00 60.00 60.00
Element x y z (fractional)
Rb (0.000, 0.000, 0.000)
Rb (0.250, 0.250, 0.250)
Rb (0.750, 0.750, 0.750)
Ru (0.500, 0.500, 0.500)
I (0.280, 0.280, 0.720)
I (0.280, 0.720, 0.280)
I (0.280, 0.720, 0.720)
I (0.720, 0.280, 0.280)
I (0.720, 0.280, 0.720)
I (0.720, 0.720, 0.280)

* energy above the most stable polymorph in this dataset: 2 meV per atom
* energy relative to the elements, uncorrected: -8.1 eV per formula unit


No. 2
First-principles (PBE-GGA) data for a relaxed structure of LiSm3Sc2S6, as listed in Alexandria via LeMat-Bulk.

Lattice parameters (Å, degrees): 6.676 6.676 6.696 99.59 99.59 120.09
Element x y z (fractional)
Li (0.000, 0.000, 0.000)
Sm (0.164, 0.836, 0.500)
Sm (0.500, 0.500, 0.500)
Sm (0.836, 0.164, 0.500)
Sc (0.335, 0.665, 0.000)
Sc (0.665, 0.335, 0.000)
S (0.075, 0.409, 0.227)
S (0.257, 0.257, 0.777)
S (0.409, 0.075, 0.227)
S (0.591, 0.925, 0.773)
S (0.743, 0.743, 0.223)
S (0.925, 0.591, 0.773)

* energy relative to the elements, uncorrected: -22.9 eV per formula unit


No. 3
First-principles (PBE-GGA) data for a relaxed structure of LiAcGaAg3, as listed in Alexandria via LeMat-Bulk.

Lattice parameters (Å, degrees): 7.250 7.250 6.195 90.00 90.00 126.71
Element x y z (fractional)
Li (0.055, 0.945, 0.750)
Li (0.945, 0.055, 0.250)
Ac (0.286, 0.714, 0.750)
Ac (0.714, 0.286, 0.250)
Ga (0.361, 0.639, 0.250)
Ga (0.639, 0.361, 0.750)
Ag (0.148, 0.852, 0.250)
Ag (0.284, 0.284, 0.000)
Ag (0.284, 0.284, 0.500)
Ag (0.716, 0.716, 0.000)
Ag (0.716, 0.716, 0.500)
Ag (0.852, 0.148, 0.750)

* DFT total energy: -3.114 eV/atom


No. 4
First-principles (PBE-GGA) data for a relaxed structure of ErLuMo4, as listed in Alexandria via LeMat-Bulk.

Lattice parameters (Å, degrees): 5.485 5.485 5.485 60.00 60.00 60.00
Element x y z (fractional)
Er (0.000, 0.000, 0.000)
Lu (0.750, 0.750, 0.750)
Mo (0.375, 0.375, 0.375)
Mo (0.375, 0.375, 0.875)
Mo (0.375, 0.875, 0.375)
Mo (0.875, 0.375, 0.375)

* DFT total energy: -8.698 eV/atom


No. 5
First-principles (PBE-GGA) data for a relaxed structure of Ac8Pm3Tm2, as listed in Alexandria via LeMat-Bulk.

Lattice parameters (Å, degrees): 11.016 11.016 6.789 99.77 99.77 41.04
Element x y z (fractional)
Ac (0.051, 0.051, 0.336)
Ac (0.082, 0.600, 0.208)
Ac (0.340, 0.340, 0.715)
Ac (0.400, 0.918, 0.792)
Ac (0.600, 0.082, 0.208)
Ac (0.660, 0.660, 0.285)
Ac (0.918, 0.400, 0.792)
Ac (0.949, 0.949, 0.664)
Pm (0.296, 0.704, 0.000)
Pm (0.500, 0.500, 0.500)
Pm (0.704, 0.296, 0.000)
Tm (0.206, 0.206, 0.300)
Tm (0.794, 0.794, 0.700)

* DFT total energy: -4.093 eV/atom


No. 6
First-principles (PBE-GGA) data for a relaxed structure of LaTc2Pb, as listed in Alexandria via LeMat-Bulk.

Lattice parameters (Å, degrees): 8.571 8.571 8.571 22.97 22.97 22.97
Element x y z (fractional)
La (0.000, 0.000, 0.000)
Tc (0.249, 0.249, 0.249)
Tc (0.751, 0.751, 0.751)
Pb (0.500, 0.500, 0.500)

* DFT total energy: -6.599 eV/atom


The following D(E_F) values (in states/eV/atom) correspond, in order, to the records above: 1.595 0.428 0.434 1.073 1.554 1.262.
The following total magnetization values (in μB/atom) correspond, in order, to the records above: 0.100 0.000 0.000 0.000 0.000 0.000.